# KNiOs2, relaxed, DFT GGA-PBE
data_KNiOs2
_symmetry_space_group_name_H-M 'P 1'
_symmetry_Int_Tables_number 1
_symmetry_space_group_name_Hall 'P 1'
_cell_length_a 2.6950
_cell_length_b 4.1347
_cell_length_c 7.2916
_cell_angle_alpha 90.00
_cell_angle_beta 100.17
_cell_angle_gamma 90.00
loop_
_atom_site_label
_atom_site_type_symbol
_atom_site_fract_x
_atom_site_fract_y
_atom_site_fract_z
K1 K 0.0000 0.0000 0.0000
Ni1 Ni 0.6596 0.5000 0.3163
Os1 Os 0.3055 0.5000 0.6247
Os2 Os 0.7510 0.0000 0.5116
# Energy above the most stable polymorph in this dataset, eV/f.u.: 0.08
# Calculated total energy, eV/f.u.: -26.38
# Space-group type: Pm (6)
# DFT formation energy, eV per formula unit: 2.958